[1]
Computed, not measured: an optimized crystal structure of Rb3SnCl at the PBE level of DFT.

For the density, the calculation gives 2.72 g/cm3. For the size of the total moment, the calculation gives 2.0 μB/f.u. Its symmetry is Pm-3m. Its energy is -2.415 eV per atom.

Cell: 6.3049 6.3049 6.3049 Å, 90.00 90.00 90.00°
Closest atoms and distances in Å follow each position.
Element x y z (fractional)
Rb: 0.5000 0.0000 0.0000  2 Cl 3.15
Rb: 0.0000 0.0000 0.5000  2 Cl 3.15
Rb: 0.0000 0.5000 0.0000  2 Cl 3.15
Cl: 0.0000 0.0000 0.0000  6 Rb 3.15
Sn: 0.5000 0.5000 0.5000  12 Rb 4.46



[2]
Computed, not measured: an optimized crystal structure of Rb3Sn2Cl7 at the PBE level of DFT.

For the density, the calculation gives 2.85 g/cm3. For the size of the total moment, the calculation gives 0.0 μB/f.u. Its symmetry is Cmmm. Its energy is -3.439 eV per atom.

Cell: 5.5257 5.6648 14.0907 Å, 101.60 90.00 90.00°
Closest atoms and distances in Å follow each position.
Element x y z (fractional)
Cl: 0.0000 0.6033 0.2066  2 Sn 2.83
Cl: 0.0000 0.3967 0.7934  2 Sn 2.83
Cl: 0.0000 0.0000 0.0000  2 Sn 2.93
Cl: 0.0000 0.7963 0.5925  1 Sn 2.70
Cl: 0.0000 0.2037 0.4075  1 Sn 2.70
Cl: 0.5000 0.8927 0.7854  2 Sn 2.76
Cl: 0.5000 0.1073 0.2146  2 Sn 2.76
Rb: 0.5000 0.5000 0.0000  12 Cl 3.96-4.10
Rb: 0.5000 0.3179 0.6359  4 Cl 3.50-3.52
Rb: 0.5000 0.6821 0.3641  4 Cl 3.50-3.52
Sn: 0.0000 0.1060 0.2119  6 Cl 2.70-2.93
Sn: 0.0000 0.8940 0.7881  6 Cl 2.70-2.93



[3]
Computed, not measured: an optimized crystal structure of Rb2Sn2Cl7 at the PBE level of DFT.

For the density, the calculation gives 3.05 g/cm3. For the size of the total moment, the calculation gives 0.0 μB/f.u. Its symmetry is Cmmm. Its energy is -3.318 eV per atom.

Cell: 6.8889 7.5866 6.8889 Å, 89.99 97.21 90.01°
Closest atoms and distances in Å follow each position.
Element x y z (fractional)
Cl: 0.9998 0.2304 0.5003  2 Sn 2.88
Cl: 0.4998 0.2127 0.5002  2 Sn 2.82
Cl: 0.5003 0.7696 0.9998  2 Sn 2.88
Cl: 0.4997 0.2304 0.0002  2 Sn 2.88
Cl: 0.5002 0.7873 0.4998  2 Sn 2.82
Cl: 0.0002 0.7696 0.4997  2 Sn 2.88
Cl: 0.0000 0.0000 0.0000  2 Sn 2.85
Rb: 0.2358 0.5000 0.2358  6 Cl 3.25-3.30
Rb: 0.7642 0.5000 0.7642  6 Cl 3.25-3.30
Sn: 0.2760 0.0000 0.7240  7 Cl 2.82-2.88
Sn: 0.7240 0.0000 0.2760  7 Cl 2.82-2.88



[4]
Computed, not measured: an optimized crystal structure of RbSn2Cl at the PBE level of DFT.

For the density, the calculation gives 3.85 g/cm3. For the size of the total moment, the calculation gives 0.0 μB/f.u. Its symmetry is I-42d. Its energy is -3.296 eV per atom.

Cell: 4.3312 4.3312 16.7803 Å, 82.58 82.58 90.00°
Closest atoms and distances in Å follow each position.
Element x y z (fractional)
Sn: 0.3750 0.3732 0.7500  4 Sn 3.05-3.07
Sn: 0.1232 0.6250 0.2500  4 Sn 3.05-3.07
Sn: 0.8750 0.8768 0.7500  4 Sn 3.05-3.07
Sn: 0.6268 0.1250 0.2500  4 Sn 3.05-3.07
Rb: 0.7500 0.2500 0.5000  4 Cl 3.06
Rb: 0.0000 0.0000 0.0000  4 Cl 3.06
Cl: 0.5000 0.5000 0.0000  4 Rb 3.06
Cl: 0.2500 0.7500 0.5000  4 Rb 3.06



[5]
Computed, not measured: an optimized crystal structure of RbSnCl3 at the PBE level of DFT.

For the density, the calculation gives 2.65 g/cm3. For the size of the total moment, the calculation gives 0.0 μB/f.u. Its symmetry is Pm-3m. Its energy is -2.591 eV per atom.

Cell: 5.7959 5.7959 5.7959 Å, 90.00 90.00 90.00°
Closest atoms and distances in Å follow each position.
Element x y z (fractional)
Sn: 0.5000 0.5000 0.5000  12 Cl 4.10
Cl: 0.0000 0.5000 0.0000  2 Rb 2.90
Cl: 0.0000 0.0000 0.5000  2 Rb 2.90
Cl: 0.5000 0.0000 0.0000  2 Rb 2.90
Rb: 0.0000 0.0000 0.0000  6 Cl 2.90



[6]
Computed, not measured: an optimized crystal structure of RbSnCl3 at the PBE level of DFT.

For the density, the calculation gives 2.96 g/cm3. For the size of the total moment, the calculation gives 0.0 μB/f.u. Its symmetry is C2/m. Its energy is -3.504 eV per atom.

Cell: 19.6112 8.9330 8.9330 Å, 143.04 151.77 28.23°
Closest atoms and distances in Å follow each position.
Element x y z (fractional)
Cl: 0.7457 0.2664 0.7336  1 Sn 2.55
Cl: 0.6252 0.1846 0.8154  1 Sn 2.58
Cl: 0.2543 0.7336 0.2664  1 Sn 2.55
Cl: 0.9105 0.4619 0.5381  2 Sn 2.83
Cl: 0.0895 0.5381 0.4619  2 Sn 2.83
Cl: 0.3748 0.8154 0.1846  1 Sn 2.58
Rb: 0.4006 0.9823 0.0177  6 Cl 3.30-3.65
Rb: 0.5994 0.0177 0.9823  6 Cl 3.30-3.65
Sn: 0.0749 0.0559 0.9441  4 Cl 2.55-2.83
Sn: 0.9251 0.9441 0.0559  4 Cl 2.55-2.83



[7]
Computed, not measured: an optimized crystal structure of RbSnCl3 at the PBE level of DFT.

For the density, the calculation gives 2.76 g/cm3. For the size of the total moment, the calculation gives 0.0 μB/f.u. Its symmetry is I-4m2. Its energy is -3.249 eV per atom.

Cell: 6.3093 6.3093 10.3829 Å, 72.31 72.31 90.00°
Closest atoms and distances in Å follow each position.
Element x y z (fractional)
Cl: 0.2848 0.2848 0.4305  2 Sn 3.22, 2 Rb 3.40
Cl: 0.1472 0.8887 0.2226  1 Sn 2.65
Cl: 0.1113 0.3697 0.7774  1 Sn 2.65
Cl: 0.1113 0.8528 0.7774  1 Sn 2.65
Cl: 0.6303 0.8887 0.2226  1 Sn 2.65
Cl: 0.7152 0.7152 0.5695  2 Sn 3.22, 2 Rb 3.40
Rb: 0.8529 0.3529 0.2942  6 Cl 3.40-3.61
Rb: 0.6471 0.1471 0.7058  6 Cl 3.40-3.61
Sn: 0.2500 0.7500 0.5000  8 Cl 3.01-3.22
Sn: 0.0000 0.0000 0.0000  4 Cl 2.65



[8]
Computed, not measured: an optimized crystal structure of Rb4SnCl5 at the PBE level of DFT.

For the density, the calculation gives 2.89 g/cm3. For the size of the total moment, the calculation gives 0.2 μB/f.u. Its symmetry is I4/m. Its energy is -3.253 eV per atom.

Cell: 6.9528 8.0454 8.0454 Å, 79.24 64.40 64.40°
Closest atoms and distances in Å follow each position.
Element x y z (fractional)
Cl: 0.7195 0.1915 0.3718  1 Sn 3.03, 2 Rb 3.30-3.32
Cl: 0.2827 0.8085 0.6282  1 Sn 3.03, 2 Rb 3.30-3.32
Cl: 0.9109 0.3718 0.8085  1 Sn 3.03, 2 Rb 3.30-3.32
Cl: 0.0912 0.6282 0.1915  1 Sn 3.03, 2 Rb 3.30-3.32
Cl: 0.5004 0.0000 0.0000  4 Rb 3.16, 2 Sn 3.47-3.48
Rb: 0.4063 0.3881 0.8018  6 Cl 3.16-3.48
Rb: 0.2080 0.1982 0.3881  6 Cl 3.16-3.48
Rb: 0.7944 0.8018 0.6119  6 Cl 3.16-3.48
Rb: 0.5961 0.6119 0.1982  6 Cl 3.16-3.48
Sn: 0.0008 0.0000 0.0000  4 Cl 3.03